A) # Rb3Cd2Cl7

Rb3Cd2Cl7 after structural relaxation (PBE-GGA, the Alexandria database).

The structure belongs to space group Cmmm (No. 65); the cell edges are 5.361, 26.696 and 5.235 Å and the angles 90.00°, 90.00° and 90.00°. The inequivalent atoms are Rb at (0.000, 0.000, 0.000), Rb at (0.000, 0.179, 0.000), Cd at (0.000, 0.400, 0.500), Cl at (0.000, 0.095, 0.500), Cl at (0.000, 0.304, 0.500), Cl at (0.000, 0.404, 0.000) and Cl at (0.000, 0.500, 0.500).

For the volume, the calculation gives 31.2 Å³ per atom.

---

B) # Rb3Cd2Cl7

Rb3Cd2Cl7 after structural relaxation (PBE-GGA, the Alexandria database).

The structure belongs to space group I4/mmm (No. 139); the cell edges are 5.302, 5.302 and 26.709 Å and the angles 90.00°, 90.00° and 90.00°. The inequivalent atoms are Rb at (0.000, 0.000, 0.000), Rb at (0.000, 0.000, 0.180), Cd at (0.000, 0.000, 0.400), Cl at (0.000, 0.000, 0.304), Cl at (0.000, 0.000, 0.500) and Cl at (0.000, 0.500, 0.096).

For the volume, the calculation gives 31.3 Å³ per atom.

---

B) is favored, and the nearest alternative lies 2.2 kJ/mol of atoms above it.

---

A) # RbCd2Cl5

RbCd2Cl5 after structural relaxation (PBE-GGA, the Alexandria database).

The structure belongs to space group Cmcm (No. 63); the cell edges are 5.587, 12.389 and 13.233 Å and the angles 90.00°, 90.00° and 90.00°. The inequivalent atoms are Rb at (0.000, 0.015, 0.250), Cd at (0.000, 0.352, 0.057), Cl at (0.000, 0.164, 0.533), Cl at (0.000, 0.286, 0.250) and Cl at (0.000, 0.450, 0.621).

For the volume, the calculation gives 28.6 Å³ per atom.

---

B) # RbCd2Cl5

RbCd2Cl5 after structural relaxation (PBE-GGA, the Alexandria database).

The structure belongs to space group Immm (No. 71); the cell edges are 3.845, 6.975 and 17.505 Å and the angles 90.00°, 90.00° and 90.00°. The inequivalent atoms are Rb at (0.000, 0.000, 0.000), Cd at (0.000, 0.500, 0.149), Cl at (0.000, 0.253, 0.343) and Cl at (0.000, 0.500, 0.000).

For the volume, the calculation gives 29.3 Å³ per atom.

---

A) is favored, and the nearest alternative lies 6.2 kJ/mol of atoms above it.

---

A) # Rb4CdCl6

Rb4CdCl6 after structural relaxation (PBE-GGA, the Alexandria database).

The structure belongs to space group C2/c (No. 15); the cell edges are 7.998, 24.529 and 8.509 Å and the angles 90.00°, 90.07° and 90.00°. The inequivalent atoms are Rb at (0.000, 0.013, 0.250), Rb at (0.000, 0.142, 0.750), Rb at (0.240, 0.306, 0.749), Cd at (0.000, 0.500, 0.000), Cl at (0.001, 0.238, 0.992), Cl at (0.230, 0.427, 0.995) and Cl at (0.235, 0.429, 0.499).

For the volume, the calculation gives 37.9 Å³ per atom.

---

B) # Rb4CdCl6

Rb4CdCl6 after structural relaxation (PBE-GGA, the Alexandria database).

The structure belongs to space group R-3c (No. 167, hexagonal axes); the cell edges are 12.6772, 12.6772 and 15.8334 Å and the angles 90.00°, 90.00° and 120.00°. The inequivalent atoms are Rb at (0.0000, 0.0000, 0.2500), Rb at (0.0000, 0.3762, 0.2500), Cd at (0.0000, 0.0000, 0.0000) and Cl at (0.0295, 0.1862, 0.4016).

For the volume, the calculation gives 33.4 Å³ per atom.

---

B) is favored, and the nearest alternative lies 11.1 kJ/mol of atoms above it.

---

A) # RbCd3Cl

RbCd3Cl after structural relaxation (PBE-GGA, the Alexandria database).

The structure belongs to space group Pm-3m (No. 221); the cell edges are 6.182, 6.182 and 6.182 Å and the angles 90.00°, 90.00° and 90.00°. The inequivalent atoms are Rb at (0.000, 0.000, 0.000), Cd at (0.000, 0.500, 0.500) and Cl at (0.500, 0.500, 0.500).

For the volume, the calculation gives 47.3 Å³ per atom.

---

B) # RbCd3Cl

RbCd3Cl after structural relaxation (PBE-GGA, the Alexandria database).

The structure belongs to space group Pm-3m (No. 221); the cell edges are 6.910, 6.910 and 6.910 Å and the angles 90.00°, 90.00° and 90.00°. The inequivalent atoms are Rb at (0.000, 0.000, 0.000), Cd at (0.000, 0.000, 0.500) and Cl at (0.500, 0.500, 0.500).

For the volume, the calculation gives 66.0 Å³ per atom.

---

A) is favored, and the nearest alternative lies 21.0 kJ/mol of atoms above it.

---

A) # Rb3CdCl6

Rb3CdCl6 after structural relaxation (PBE-GGA, the Alexandria database).

The structure belongs to space group Cmc2_1 (No. 36); the cell edges are 14.425, 18.611 and 5.576 Å and the angles 90.00°, 90.00° and 90.00°. The inequivalent atoms are Rb at (0.000, 0.116, 0.000), Rb at (0.182, 0.380, 0.995), Cd at (0.000, 0.288, 0.412), Cl at (0.000, 0.287, 0.868), Cl at (0.000, 0.421, 0.361), Cl at (0.146, 0.220, 0.333) and Cl at (0.163, 0.001, 0.744).

For the volume, the calculation gives 37.4 Å³ per atom.

---

B) # Rb3CdCl6

Rb3CdCl6 after structural relaxation (PBE-GGA, the Alexandria database).

The structure belongs to space group Fm-3m (No. 225); the cell edges are 11.335, 11.335 and 11.335 Å and the angles 90.00°, 90.00° and 90.00°. The inequivalent atoms are Rb at (0.000, 0.000, 0.000), Rb at (0.250, 0.250, 0.250), Cd at (0.000, 0.000, 0.500) and Cl at (0.000, 0.000, 0.271).

For the volume, the calculation gives 36.4 Å³ per atom.

---

A) is favored, and the nearest alternative lies 8.9 kJ/mol of atoms above it.

---

A) # RbCdSCl2

RbCdSCl2 after structural relaxation (PBE-GGA, the Alexandria database).

The structure belongs to space group P4/mmm (No. 123); the cell edges are 6.089, 6.089 and 6.050 Å and the angles 90.00°, 90.00° and 90.00°. The inequivalent atoms are Rb at (0.000, 0.000, 0.000), Cd at (0.500, 0.500, 0.500), S at (0.000, 0.000, 0.500) and Cl at (0.000, 0.500, 0.000).

For the volume, the calculation gives 44.9 Å³ per atom.

---

B) # RbCdSCl2

RbCdSCl2 after structural relaxation (PBE-GGA, the Alexandria database).

The structure belongs to space group P4/mmm (No. 123); the cell edges are 5.425, 5.425 and 5.081 Å and the angles 90.00°, 90.00° and 90.00°. The inequivalent atoms are Rb at (0.000, 0.000, 0.000), Cd at (0.500, 0.500, 0.500), S at (0.500, 0.500, 0.000) and Cl at (0.000, 0.500, 0.500).

For the volume, the calculation gives 29.9 Å³ per atom.

---

B) is favored, and the nearest alternative lies 97.9 kJ/mol of atoms above it.

---

A) # CdRe2Cl

CdRe2Cl after structural relaxation (PBE-GGA, the Alexandria database).

The structure belongs to space group Imm2 (No. 44); the cell edges are 3.339, 4.900 and 10.966 Å and the angles 90.00°, 90.00° and 90.00°. The inequivalent atoms are Cd at (0.000, 0.000, 0.000), Re at (0.000, 0.000, 0.513), Re at (0.000, 0.500, 0.866) and Cl at (0.000, 0.500, 0.217).

For the volume, the calculation gives 22.4 Å³ per atom.

---

B) # CdRe2Cl

CdRe2Cl after structural relaxation (PBE-GGA, the Alexandria database).

The structure belongs to space group Cmm2 (No. 35); the cell edges are 2.897, 4.973 and 10.290 Å and the angles 90.00°, 90.00° and 90.00°. The inequivalent atoms are Cd at (0.000, 0.000, 0.000), Re at (0.000, 0.000, 0.467), Re at (0.000, 0.500, 0.260) and Cl at (0.000, 0.500, 0.668).

For the volume, the calculation gives 18.5 Å³ per atom.

---

B) is favored, and the nearest alternative lies 37.7 kJ/mol of atoms above it.

---

A) # CdReCl

CdReCl after structural relaxation (PBE-GGA, the Alexandria database).

The structure belongs to space group Fmm2 (No. 42); the cell edges are 2.899, 5.197 and 16.570 Å and the angles 90.00°, 90.00° and 90.00°. The inequivalent atoms are Cd at (0.000, 0.000, 0.000), Re at (0.000, 0.000, 0.652) and Cl at (0.000, 0.000, 0.267).

For the volume, the calculation gives 20.8 Å³ per atom.

---

B) # CdReCl

CdReCl after structural relaxation (PBE-GGA, the Alexandria database).

The structure belongs to space group F-43m (No. 216); the cell edges are 6.563, 6.563 and 6.563 Å and the angles 90.00°, 90.00° and 90.00°. The inequivalent atoms are Cd at (0.000, 0.000, 0.000), Re at (0.250, 0.250, 0.750) and Cl at (0.000, 0.000, 0.500).

For the volume, the calculation gives 23.6 Å³ per atom.

---

A) is favored, and the nearest alternative lies 88.1 kJ/mol of atoms above it.